## HoMnB4 (meta-GGA SCAN)

Data for a crystal of HoMnB4 relaxed with PBEsol.

Output
* electronic total energy: -16.88 eV/atom
* DFT formation energy: -724 meV/atom

Geometry as CIF:
```
data_HoMnB4
_cell_length_a 5.856
_cell_length_b 11.326
_cell_length_c 3.341
_cell_angle_alpha 90.00
_cell_angle_beta 90.00
_cell_angle_gamma 90.00
_space_group_name_H-M_alt 'P b a m'
_space_group_IT_number 55
_space_group_name_Hall '-P 2 2ab'
loop_
_atom_site_label
_atom_site_fract_x
_atom_site_fract_y
_atom_site_fract_z
_atom_site_occupancy
Ho1 0.126 0.150 0.000 1
Mn1 0.127 0.416 0.000 1
B1 0.025 0.691 0.500 1
B2 0.112 0.546 0.500 1
B3 0.138 0.968 0.500 1
B4 0.219 0.816 0.500 1
```